Density functional theory data (GGA+U) for NpCr3B4O12 after structural relaxation.

Geometry as POSCAR:
```
NpCr3B4O12
1.0
-3.5942 -0.9146 -4.8845
-3.7996 -0.7004 4.7630
1.1104 6.0306 -0.1103
B O Cr Np
4 12 3 1
direct
0.9438 0.0562 0.5000
0.0562 0.5000 0.9438
0.5000 0.9438 0.0562
0.5000 0.5000 0.5000
0.7897 0.0330 0.6297
0.2103 0.3703 0.9670
0.6297 0.7897 0.0330
0.3703 0.9670 0.2103
0.0882 0.9118 0.5000
0.0330 0.6297 0.7897
0.9670 0.2103 0.3703
0.5000 0.0882 0.9118
0.9118 0.5000 0.0882
0.3561 0.6439 0.5000
0.5000 0.3561 0.6439
0.6439 0.5000 0.3561
0.5543 0.4457 0.0000
0.4457 0.0000 0.5543
0.0000 0.5543 0.4457
0.0000 0.0000 0.0000
```

Computed properties:
The total energy comes out at -0.3080 Ha/atom.